The following is a GGA+U calculation of crystalline MgSn2WO6 at its relaxed geometry, from the Alexandria database.

## Properties
* E_tot: -64.0 eV/cell
* SG: Fm-3m (225)

Unit cell a=5.680 b=5.680 c=5.680 alpha=60.00 beta=60.00 gamma=60.00
Element x y z (fractional)
Mg (0.000, 0.000, 0.000)
Sn (0.250, 0.250, 0.250)
Sn (0.750, 0.750, 0.750)
W (0.500, 0.500, 0.500)
O (0.257, 0.257, 0.743)
O (0.257, 0.743, 0.257)
O (0.257, 0.743, 0.743)
O (0.743, 0.257, 0.257)
O (0.743, 0.257, 0.743)
O (0.743, 0.743, 0.257)